Entry from Alexandria via LeMat-Bulk: Y3Al4Ga2 after structural relaxation (PBE-GGA).

## Properties
DOS at the Fermi energy = 0.5044 states/eV/atom
formation energy = -556 meV per atom
SG = C2/m (12)
calculated volume = 20.8 Å³/atom

a b c (Å): 4.475 5.746 8.554
angles (deg): 110.49 90.00 112.92
Element x y z (fractional)
Y1 0.670 0.341 0.662
Y2 0.330 0.659 0.338
Y3 0.000 0.000 0.000
Al1 0.730 0.460 0.065
Al2 0.270 0.540 0.935
Al3 0.956 0.912 0.623
Al4 0.044 0.088 0.377
Ga1 0.390 0.780 0.723
Ga2 0.610 0.220 0.277